# 1
An optimized crystal structure of Mg2Ta2Pb, computed with PBE.

Structure (CIF):
```
data_Mg2Ta2Pb
_chemical_formula_sum 'Mg4 Ta4 Pb2'
_symmetry_space_group_name_H-M 'P 4/m b m'
_symmetry_Int_Tables_number 127
_symmetry_space_group_name_Hall '-P 4 2ab'
_cell_length_a 8.220
_cell_length_b 8.220
_cell_length_c 3.208
_cell_angle_alpha 90.00
_cell_angle_beta 90.00
_cell_angle_gamma 90.00
loop_
_atom_site_label
_atom_site_type_symbol
_atom_site_fract_x
_atom_site_fract_y
_atom_site_fract_z
_atom_site_occupancy
Mg1 Mg 0.183 0.317 0.000 1
Ta1 Ta 0.110 0.610 0.500 1
Pb1 Pb 0.000 0.000 0.500 1
```

***

# 2
An optimized crystal structure of MgTa2Pb, computed with PBE.

Structure (CIF):
```
data_MgTa2Pb
_chemical_formula_sum 'Mg2 Ta4 Pb2'
_symmetry_space_group_name_H-M 'C m m 2'
_symmetry_Int_Tables_number 35
_cell_length_a 3.522
_cell_length_b 5.022
_cell_length_c 9.713
_cell_angle_alpha 90.00
_cell_angle_beta 90.00
_cell_angle_gamma 90.00
loop_
_symmetry_equiv_pos_as_xyz
'x,y,z'
'-x,-y,z'
'-x,y,z'
'x,-y,z'
'x+1/2,y+1/2,z'
'-x+1/2,-y+1/2,z'
'-x+1/2,y+1/2,z'
'x+1/2,-y+1/2,z'
loop_
_atom_site_label
_atom_site_type_symbol
_atom_site_fract_x
_atom_site_fract_y
_atom_site_fract_z
_atom_site_occupancy
Mg1 Mg 0.000 0.000 0.000 1
Ta1 Ta 0.000 0.000 0.456 1
Ta2 Ta 0.000 0.500 0.242 1
Pb1 Pb 0.000 0.500 0.714 1
```

***

# 3
An optimized crystal structure of MgTaPb2, computed with PBE.

Structure (CIF):
```
data_MgTaPb2
_chemical_formula_sum 'Mg4 Ta4 Pb8'
_symmetry_space_group_name_H-M 'I -4 2 d'
_symmetry_Int_Tables_number 122
_symmetry_space_group_name_Hall 'I -4 2bw'
_cell_length_a 8.077
_cell_length_b 8.077
_cell_length_c 6.256
_cell_angle_alpha 90.00
_cell_angle_beta 90.00
_cell_angle_gamma 90.00
loop_
_atom_site_label
_atom_site_type_symbol
_atom_site_fract_x
_atom_site_fract_y
_atom_site_fract_z
_atom_site_occupancy
Mg1 Mg 0.000 0.000 0.000 1
Ta1 Ta 0.000 0.000 0.500 1
Pb1 Pb 0.238 0.250 0.625 1
```

***

# 4
An optimized crystal structure of MgTaPb2, computed with PBE.

Structure (CIF):
```
data_MgTaPb2
_chemical_formula_sum 'Mg2 Ta2 Pb4'
_symmetry_space_group_name_H-M 'C m m m'
_symmetry_Int_Tables_number 65
_symmetry_space_group_name_Hall '-C 2 2'
_cell_length_a 4.045
_cell_length_b 5.053
_cell_length_c 9.394
_cell_angle_alpha 90.00
_cell_angle_beta 90.00
_cell_angle_gamma 90.00
loop_
_atom_site_label
_atom_site_type_symbol
_atom_site_fract_x
_atom_site_fract_y
_atom_site_fract_z
_atom_site_occupancy
Mg1 Mg 0.000 0.000 0.000 1
Ta1 Ta 0.000 0.000 0.500 1
Pb1 Pb 0.000 0.500 0.264 1
```

***

Listing energy for the structures above in their given order: -5.560 -6.987 -4.497 -4.843 eV/atom.
Listing V for the structures above in their given order: 216.7 171.8 408.1 192.0 Å³ per cell.